TiSb2TeF | PBE | optimized geometry

CIF file:
```
data_TiSb2TeF
_symmetry_space_group_name_H-M 'P 4/m m m'
_symmetry_Int_Tables_number 123
_symmetry_space_group_name_Hall '-P 4 2'
_cell_length_a 4.632
_cell_length_b 4.632
_cell_length_c 5.444
_cell_angle_alpha 90.00
_cell_angle_beta 90.00
_cell_angle_gamma 90.00
loop_
_atom_site_label
_atom_site_fract_x
_atom_site_fract_y
_atom_site_fract_z
Ti1 0.000 0.000 0.000
Sb1 0.000 0.500 0.500
Te1 0.500 0.500 0.000
F1 0.500 0.500 0.500
```

Computed properties:
For the offset from the most stable computed form, the calculation gives 239 meV per atom. The value obtained for the volume is 23.4 A^3/atom. Its spin magnetization is 0.0 μB per formula unit.

---

Th5TcHg2 | PBE | optimized geometry

CIF file:
```
data_Th5TcHg2
_symmetry_space_group_name_H-M 'C m c m'
_symmetry_Int_Tables_number 63
_symmetry_space_group_name_Hall '-C 2c 2'
_cell_length_a 5.485
_cell_length_b 15.850
_cell_length_c 12.723
_cell_angle_alpha 90.00
_cell_angle_beta 90.00
_cell_angle_gamma 90.00
loop_
_atom_site_label
_atom_site_fract_x
_atom_site_fract_y
_atom_site_fract_z
Th1 0.000 0.081 0.101
Th2 0.000 0.304 0.750
Th3 0.000 0.310 0.058
Tc1 0.000 0.211 0.250
Hg1 0.000 0.117 0.639
```

Computed properties:
For the offset from the most stable computed form, the calculation gives 400 meV per atom. The value obtained for the volume is 34.6 A^3/atom. Its spin magnetization is 0.0 μB per formula unit.

---

YReRh2 | PBE | optimized geometry

CIF file:
```
data_YReRh2
_symmetry_space_group_name_H-M 'I 4/m m m'
_symmetry_Int_Tables_number 139
_symmetry_space_group_name_Hall '-I 4 2'
_cell_length_a 4.199
_cell_length_b 4.199
_cell_length_c 7.688
_cell_angle_alpha 90.00
_cell_angle_beta 90.00
_cell_angle_gamma 90.00
loop_
_atom_site_label
_atom_site_fract_x
_atom_site_fract_y
_atom_site_fract_z
Y1 0.000 0.000 0.000
Re1 0.000 0.000 0.500
Rh1 0.000 0.500 0.250
```

Computed properties:
For the offset from the most stable computed form, the calculation gives 144 meV per atom. The value obtained for the volume is 16.9 A^3/atom. Its spin magnetization is 0.0 μB per formula unit.

---

Sr3LaPb | PBE | optimized geometry

CIF file:
```
data_Sr3LaPb
_symmetry_space_group_name_H-M 'P m -3 m'
_symmetry_Int_Tables_number 221
_symmetry_space_group_name_Hall '-P 4 2 3'
_cell_length_a 6.170
_cell_length_b 6.170
_cell_length_c 6.170
_cell_angle_alpha 90.00
_cell_angle_beta 90.00
_cell_angle_gamma 90.00
loop_
_atom_site_label
_atom_site_fract_x
_atom_site_fract_y
_atom_site_fract_z
Sr1 0.000 0.000 0.500
La1 0.000 0.000 0.000
Pb1 0.500 0.500 0.500
```

Computed properties:
For the offset from the most stable computed form, the calculation gives 594 meV per atom. The value obtained for the volume is 47.0 A^3/atom. Its spin magnetization is 0.0 μB per formula unit.

---

BaNa2PuF8 | PBE | optimized geometry

CIF file:
```
data_BaNa2PuF8
_symmetry_space_group_name_H-M 'P 1 2/m 1'
_symmetry_Int_Tables_number 10
_cell_length_a 4.087
_cell_length_b 8.198
_cell_length_c 5.809
_cell_angle_alpha 90.00
_cell_angle_beta 90.41
_cell_angle_gamma 90.00
loop_
_symmetry_equiv_pos_as_xyz
'x,y,z'
'-x,-y,-z'
'-x,y,-z'
'x,-y,z'
loop_
_atom_site_label
_atom_site_fract_x
_atom_site_fract_y
_atom_site_fract_z
Ba1 0.000 0.000 0.000
Na1 0.500 0.237 0.500
Pu1 0.000 0.500 0.000
F1 0.002 0.291 0.239
F2 0.497 0.000 0.732
F3 0.499 0.500 0.787
```

Computed properties:
The value obtained for the volume is 16.2 A^3/atom. Its spin magnetization is 4.0 μB per formula unit. As for the electronic total energy: -6.146 eV/atom.

---

ZnCu2Hg | PBE | optimized geometry

CIF file:
```
data_ZnCu2Hg
_symmetry_space_group_name_H-M 'F -4 3 m'
_symmetry_Int_Tables_number 216
_symmetry_space_group_name_Hall 'F -4 2 3'
_cell_length_a 6.232
_cell_length_b 6.232
_cell_length_c 6.232
_cell_angle_alpha 90.00
_cell_angle_beta 90.00
_cell_angle_gamma 90.00
loop_
_atom_site_label
_atom_site_fract_x
_atom_site_fract_y
_atom_site_fract_z
Zn1 0.000 0.000 0.000
Cu1 0.000 0.000 0.500
Cu2 0.250 0.250 0.750
Hg1 0.250 0.250 0.250
```

Computed properties:
The value obtained for the volume is 15.1 A^3/atom. Its spin magnetization is 0.0 μB per formula unit. As for the electronic total energy: -2.312 eV/atom.

---

Ac3In | PBE | optimized geometry

CIF file:
```
data_Ac3In
_symmetry_space_group_name_H-M 'F m -3 m'
_symmetry_Int_Tables_number 225
_symmetry_space_group_name_Hall '-F 4 2 3'
_cell_length_a 8.536
_cell_length_b 8.536
_cell_length_c 8.536
_cell_angle_alpha 90.00
_cell_angle_beta 90.00
_cell_angle_gamma 90.00
loop_
_atom_site_label
_atom_site_fract_x
_atom_site_fract_y
_atom_site_fract_z
Ac1 0.000 0.000 0.000
Ac2 0.250 0.250 0.250
In1 0.000 0.000 0.500
```

Computed properties:
For the offset from the most stable computed form, the calculation gives 139 meV per atom. The value obtained for the volume is 38.9 A^3/atom. Its spin magnetization is 0.0 μB per formula unit.

---

ThZrSb | PBE | optimized geometry

CIF file:
```
data_ThZrSb
_symmetry_space_group_name_H-M 'P -6 m 2'
_symmetry_Int_Tables_number 187
_symmetry_space_group_name_Hall 'P -6 2'
_cell_length_a 5.0344
_cell_length_b 5.0344
_cell_length_c 3.7601
_cell_angle_alpha 90.00
_cell_angle_beta 90.00
_cell_angle_gamma 120.00
loop_
_atom_site_label
_atom_site_fract_x
_atom_site_fract_y
_atom_site_fract_z
Th1 0.0000 0.0000 0.0000
Zr1 0.3333 0.6667 0.5000
Sb1 0.6667 0.3333 0.5000
```

Computed properties:
The value obtained for the volume is 27.5 A^3/atom. Its spin magnetization is 0.0 μB per formula unit. As for the electronic total energy: -6.948 eV/atom.